No. 1
The following is a PBE calculation of an optimized crystal structure of LiCaTe2N, from Alexandria via LeMat-Bulk.

distance to the lowest polymorph of the same formula = 218 meV/atom
E_form (uncorrected) = 1.751 eV/f.u.

The structure in POSCAR format:
```
LiCaTe2N
1.0
6.014 0.000 0.000
0.000 6.014 0.000
0.000 0.000 4.584
Li Ca Te N
1 1 2 1
direct
0.000 0.000 0.000 Li
0.500 0.500 0.500 Ca
0.000 0.500 0.500 Te
0.500 0.000 0.500 Te
0.500 0.500 0.000 N
```

No. 2
The following is a PBE calculation of an optimized crystal structure of LiCaTe2N, from Alexandria via LeMat-Bulk.

distance to the lowest polymorph of the same formula = 0 meV/atom
E_form (uncorrected) = 0.660 eV/f.u.

The structure in POSCAR format:
```
LiCaTe2N
1.0
5.520 0.000 0.000
0.000 5.520 0.000
0.000 0.000 3.778
Li Ca Te N
1 1 2 1
direct
0.000 0.000 0.000 Li
0.500 0.500 0.500 Ca
0.000 0.500 0.000 Te
0.500 0.000 0.000 Te
0.000 0.000 0.500 N
```

No. 3
The following is a PBE calculation of an optimized crystal structure of LiCa2TlN, from Alexandria via LeMat-Bulk.

E_form (uncorrected) = -2.204 eV/f.u.

The structure in POSCAR format:
```
LiCa2TlN
1.0
4.945 0.000 0.000
0.000 4.945 0.000
0.000 0.000 4.372
Li Ca Tl N
1 2 1 1
direct
0.000 0.000 0.000 Li
0.000 0.500 0.500 Ca
0.500 0.000 0.500 Ca
0.500 0.500 0.000 Tl
0.000 0.000 0.500 N
```

No. 4
The following is a PBE calculation of an optimized crystal structure of Li2CaTlN, from Alexandria via LeMat-Bulk.

E_form (uncorrected) = -1.256 eV/f.u.

The structure in POSCAR format:
```
Li2CaTlN
1.0
4.434 0.000 0.000
0.000 4.434 0.000
0.000 0.000 4.739
Li Ca Tl N
2 1 1 1
direct
0.000 0.500 0.000 Li
0.500 0.000 0.000 Li
0.000 0.000 0.500 Ca
0.500 0.500 0.500 Tl
0.000 0.000 0.000 N
```

No. 5
The following is a PBE calculation of an optimized crystal structure of LiCa3U3N8, from Alexandria via LeMat-Bulk.

E_form (uncorrected) = -16.145 eV/f.u.

The structure in POSCAR format:
```
LiCa3U3N8
1.0
3.442 1.987 5.518
-3.442 1.987 5.518
0.000 -3.974 5.518
Li Ca U N
1 3 3 8
direct
0.000 0.000 0.000 Li
0.000 0.000 0.500 Ca
0.000 0.500 0.000 Ca
0.500 0.000 0.000 Ca
0.000 0.500 0.500 U
0.500 0.000 0.500 U
0.500 0.500 0.000 U
0.242 0.242 0.705 N
0.242 0.705 0.242 N
0.257 0.257 0.257 N
0.295 0.758 0.758 N
0.705 0.242 0.242 N
0.743 0.743 0.743 N
0.758 0.295 0.758 N
0.758 0.758 0.295 N
```

No. 6
The following is a PBE calculation of an optimized crystal structure of LiCa2VN4, from Alexandria via LeMat-Bulk.

E_form (uncorrected) = -5.188 eV/f.u.

The structure in POSCAR format:
```
LiCa2VN4
1.0
7.175 0.000 0.000
0.000 5.626 0.000
0.000 0.000 5.580
Li Ca V N
2 4 2 8
direct
0.000 0.245 0.000 Li
0.500 0.755 0.500 Li
0.246 0.788 0.002 Ca
0.254 0.212 0.502 Ca
0.746 0.212 0.502 Ca
0.754 0.788 0.002 Ca
0.000 0.782 0.500 V
0.500 0.218 0.000 V
0.000 0.982 0.748 N
0.000 0.986 0.254 N
0.222 0.625 0.496 N
0.278 0.375 0.996 N
0.500 0.014 0.754 N
0.500 0.018 0.248 N
0.722 0.375 0.996 N
0.778 0.625 0.496 N
```

No. 7
The following is a PBE calculation of an optimized crystal structure of Li2CaZnN, from Alexandria via LeMat-Bulk.

E_form (uncorrected) = -1.152 eV/f.u.

The structure in POSCAR format:
```
Li2CaZnN
1.0
4.248 0.000 0.000
0.000 4.248 0.000
0.000 0.000 4.761
Li Ca Zn N
2 1 1 1
direct
0.000 0.500 0.000 Li
0.500 0.000 0.000 Li
0.000 0.000 0.500 Ca
0.500 0.500 0.500 Zn
0.000 0.000 0.000 N
```

No. 8
The following is a PBE calculation of an optimized crystal structure of LiCaZrN2, from Alexandria via LeMat-Bulk.

E_form (uncorrected) = -4.713 eV/f.u.

The structure in POSCAR format:
```
LiCaZrN2
1.0
3.585 0.000 0.000
-1.793 3.105 0.000
0.000 0.000 6.104
Li Ca Zr N
1 1 1 2
direct
0.000 0.000 0.000 Li
0.333 0.667 0.710 Ca
0.667 0.333 0.283 Zr
0.000 0.000 0.409 N
0.667 0.333 0.940 N
```